## one
## Na2BSe3 (PBE)

Data for an optimized crystal structure of Na2BSe3.

Lattice parameters (Å, degrees): 6.179 6.179 9.386 114.03 114.03 70.55
Sites, in units of the cell vectors:
Na1 0.118 0.635 0.870
Na2 0.365 0.882 0.630
Na3 0.635 0.118 0.370
Na4 0.882 0.365 0.130
B1 0.358 0.642 0.250
B2 0.642 0.358 0.750
Se1 0.085 0.915 0.250
Se2 0.318 0.353 0.585
Se3 0.353 0.318 0.085
Se4 0.647 0.682 0.915
Se5 0.682 0.647 0.415
Se6 0.915 0.085 0.750

## two
## Na2BSe3 (PBE)

Data for an optimized crystal structure of Na2BSe3.

Lattice parameters (Å, degrees): 7.357 7.357 6.315 101.95 101.95 64.56
Sites, in units of the cell vectors:
Na1 0.009 0.686 0.821
Na2 0.314 0.991 0.679
Na3 0.686 0.009 0.321
Na4 0.991 0.314 0.179
B1 0.368 0.632 0.250
B2 0.632 0.368 0.750
Se1 0.121 0.879 0.250
Se2 0.358 0.362 0.141
Se3 0.362 0.358 0.641
Se4 0.638 0.642 0.359
Se5 0.642 0.638 0.859
Se6 0.879 0.121 0.750

Relative calculated energies, zero for the most stable structure, unit meV per atom: one 0; two 30.

## one
## Na2BSe (PBE)

Data for an optimized crystal structure of Na2BSe.

Lattice parameters (Å, degrees): 4.833 4.833 4.833 60.00 60.00 60.00
Sites, in units of the cell vectors:
Na1 0.250 0.250 0.250
Na2 0.750 0.750 0.750
B1 0.000 0.000 0.000
Se1 0.500 0.500 0.500

## two
## Na2BSe (PBE)

Data for an optimized crystal structure of Na2BSe.

Lattice parameters (Å, degrees): 9.590 9.590 9.590 152.99 152.99 38.57
Sites, in units of the cell vectors:
Na1 0.111 0.625 0.986
Na2 0.375 0.361 0.486
Na3 0.639 0.125 0.014
Na4 0.875 0.889 0.514
B1 0.000 0.000 0.000
B2 0.750 0.250 0.500
Se1 0.250 0.750 0.500
Se2 0.500 0.500 0.000

Relative calculated energies, zero for the most stable structure, unit meV per atom: one 0; two 150.

## one
## NaSnB3 (PBE)

Data for an optimized crystal structure of NaSnB3.

Lattice parameters (Å, degrees): 4.593 4.593 4.593 90.00 90.00 90.00
Sites, in units of the cell vectors:
Na1 0.000 0.000 0.000
Sn1 0.500 0.500 0.500
B1 0.000 0.500 0.500
B2 0.500 0.000 0.500
B3 0.500 0.500 0.000

## two
## NaSnB3 (PBE)

Data for an optimized crystal structure of NaSnB3.

Lattice parameters (Å, degrees): 4.481 4.481 4.481 90.00 90.00 90.00
Sites, in units of the cell vectors:
Na1 0.000 0.000 0.000
Sn1 0.500 0.500 0.500
B1 0.000 0.000 0.500
B2 0.000 0.500 0.000
B3 0.500 0.000 0.000

Relative calculated energies, zero for the most stable structure, unit meV per atom: one 0; two 606.

## one
## NaSrB3 (PBE)

Data for an optimized crystal structure of NaSrB3.

Lattice parameters (Å, degrees): 4.570 4.570 4.570 90.00 90.00 90.00
Sites, in units of the cell vectors:
Na1 0.000 0.000 0.000
Sr1 0.500 0.500 0.500
B1 0.000 0.000 0.500
B2 0.000 0.500 0.000
B3 0.500 0.000 0.000

## two
## NaSrB3 (PBE)

Data for an optimized crystal structure of NaSrB3.

Lattice parameters (Å, degrees): 5.144 5.144 5.144 90.00 90.00 90.00
Sites, in units of the cell vectors:
Na1 0.000 0.000 0.000
Sr1 0.500 0.500 0.500
B1 0.000 0.500 0.500
B2 0.500 0.000 0.500
B3 0.500 0.500 0.000

Relative calculated energies, zero for the most stable structure, unit meV per atom: one 0; two 454.

## one
## NaTc3B (PBE)

Data for an optimized crystal structure of NaTc3B.

Lattice parameters (Å, degrees): 4.446 4.446 4.446 90.00 90.00 90.00
Sites, in units of the cell vectors:
Na1 0.000 0.000 0.000
Tc1 0.000 0.000 0.500
Tc2 0.000 0.500 0.000
Tc3 0.500 0.000 0.000
B1 0.500 0.500 0.500

## two
## NaTc3B (PBE)

Data for an optimized crystal structure of NaTc3B.

Lattice parameters (Å, degrees): 4.188 4.188 4.188 90.00 90.00 90.00
Sites, in units of the cell vectors:
Na1 0.000 0.000 0.000
Tc1 0.000 0.500 0.500
Tc2 0.500 0.000 0.500
Tc3 0.500 0.500 0.000
B1 0.500 0.500 0.500

Relative calculated energies, zero for the most stable structure, unit meV per atom: one 2646; two 0.

## one
## Na3TcB (PBE)

Data for an optimized crystal structure of Na3TcB.

Lattice parameters (Å, degrees): 5.022 5.022 5.022 90.00 90.00 90.00
Sites, in units of the cell vectors:
Na1 0.000 0.000 0.500
Na2 0.000 0.500 0.000
Na3 0.500 0.000 0.000
Tc1 0.500 0.500 0.500
B1 0.000 0.000 0.000

## two
## Na3TcB (PBE)

Data for an optimized crystal structure of Na3TcB.

Lattice parameters (Å, degrees): 5.682 5.682 5.682 90.00 90.00 90.00
Sites, in units of the cell vectors:
Na1 0.000 0.000 0.500
Na2 0.000 0.500 0.000
Na3 0.500 0.000 0.000
Tc1 0.000 0.000 0.000
B1 0.500 0.500 0.500

Relative calculated energies, zero for the most stable structure, unit meV per atom: one 0; two 504.

## one
## Na3BTe (PBE)

Data for an optimized crystal structure of Na3BTe.

Lattice parameters (Å, degrees): 5.111 5.111 5.111 90.00 90.00 90.00
Sites, in units of the cell vectors:
Na1 0.000 0.000 0.500
Na2 0.000 0.500 0.000
Na3 0.500 0.000 0.000
B1 0.000 0.000 0.000
Te1 0.500 0.500 0.500

## two
## Na3BTe (PBE)

Data for an optimized crystal structure of Na3BTe.

Lattice parameters (Å, degrees): 5.828 5.828 5.828 90.00 90.00 90.00
Sites, in units of the cell vectors:
Na1 0.000 0.000 0.500
Na2 0.000 0.500 0.000
Na3 0.500 0.000 0.000
B1 0.500 0.500 0.500
Te1 0.000 0.000 0.000

Relative calculated energies, zero for the most stable structure, unit meV per atom: one 0; two 162.

## one
## Na3TiB (PBE)

Data for an optimized crystal structure of Na3TiB.

Lattice parameters (Å, degrees): 5.008 5.008 5.008 90.00 90.00 90.00
Sites, in units of the cell vectors:
Na1 0.000 0.000 0.500
Na2 0.000 0.500 0.000
Na3 0.500 0.000 0.000
Ti1 0.500 0.500 0.500
B1 0.000 0.000 0.000

## two
## Na3TiB (PBE)

Data for an optimized crystal structure of Na3TiB.

Lattice parameters (Å, degrees): 5.871 5.871 5.871 90.00 90.00 90.00
Sites, in units of the cell vectors:
Na1 0.000 0.000 0.500
Na2 0.000 0.500 0.000
Na3 0.500 0.000 0.000
Ti1 0.000 0.000 0.000
B1 0.500 0.500 0.500

Relative calculated energies, zero for the most stable structure, unit meV per atom: one 0; two 565.

## one
## NaTiB3 (PBE)

Data for an optimized crystal structure of NaTiB3.

Lattice parameters (Å, degrees): 4.037 4.037 4.037 90.00 90.00 90.00
Sites, in units of the cell vectors:
Na1 0.000 0.000 0.000
Ti1 0.500 0.500 0.500
B1 0.000 0.000 0.500
B2 0.000 0.500 0.000
B3 0.500 0.000 0.000

## two
## NaTiB3 (PBE)

Data for an optimized crystal structure of NaTiB3.

Lattice parameters (Å, degrees): 4.278 4.278 4.278 90.00 90.00 90.00
Sites, in units of the cell vectors:
Na1 0.000 0.000 0.000
Ti1 0.500 0.500 0.500
B1 0.000 0.500 0.500
B2 0.500 0.000 0.500
B3 0.500 0.500 0.000

Relative calculated energies, zero for the most stable structure, unit meV per atom: one 1033; two 0.

## one
## NaTl3B (PBE)

Data for an optimized crystal structure of NaTl3B.

Lattice parameters (Å, degrees): 5.097 5.097 5.097 90.00 90.00 90.00
Sites, in units of the cell vectors:
Na1 0.000 0.000 0.000
Tl1 0.000 0.500 0.500
Tl2 0.500 0.000 0.500
Tl3 0.500 0.500 0.000
B1 0.500 0.500 0.500

## two
## NaTl3B (PBE)

Data for an optimized crystal structure of NaTl3B.

Lattice parameters (Å, degrees): 5.573 5.573 5.573 90.00 90.00 90.00
Sites, in units of the cell vectors:
Na1 0.000 0.000 0.000
Tl1 0.000 0.000 0.500
Tl2 0.000 0.500 0.000
Tl3 0.500 0.000 0.000
B1 0.500 0.500 0.500

Relative calculated energies, zero for the most stable structure, unit meV per atom: one 0; two 782.

## one
## NaV3B (PBE)

Data for an optimized crystal structure of NaV3B.

Lattice parameters (Å, degrees): 4.175 4.175 4.175 90.00 90.00 90.00
Sites, in units of the cell vectors:
Na1 0.000 0.000 0.000
V1 0.000 0.500 0.500
V2 0.500 0.000 0.500
V3 0.500 0.500 0.000
B1 0.500 0.500 0.500

## two
## NaV3B (PBE)

Data for an optimized crystal structure of NaV3B.

Lattice parameters (Å, degrees): 4.277 4.277 4.277 90.00 90.00 90.00
Sites, in units of the cell vectors:
Na1 0.000 0.000 0.000
V1 0.000 0.000 0.500
V2 0.000 0.500 0.000
V3 0.500 0.000 0.000
B1 0.500 0.500 0.500

Relative calculated energies, zero for the most stable structure, unit meV per atom: one 0; two 2200.

## one
## NaVB2 (PBE)

Data for an optimized crystal structure of NaVB2.

Lattice parameters (Å, degrees): 8.148 8.148 8.148 152.96 152.96 38.61
Sites, in units of the cell vectors:
Na1 0.375 0.625 0.750
Na2 0.625 0.375 0.250
V1 0.125 0.875 0.250
V2 0.875 0.125 0.750
B1 0.000 0.000 0.000
B2 0.000 0.000 0.500
B3 0.000 0.500 0.000
B4 0.500 0.000 0.500

## two
## NaVB2 (PBE)

Data for an optimized crystal structure of NaVB2.

Lattice parameters (Å, degrees): 3.957 3.957 3.957 60.00 60.00 60.00
Sites, in units of the cell vectors:
Na1 0.000 0.000 0.000
V1 0.500 0.500 0.500
B1 0.250 0.250 0.250
B2 0.750 0.750 0.750

Relative calculated energies, zero for the most stable structure, unit meV per atom: one 0; two 116.

## one
## Na3VB (PBE)

Data for an optimized crystal structure of Na3VB.

Lattice parameters (Å, degrees): 5.591 5.591 5.591 90.00 90.00 90.00
Sites, in units of the cell vectors:
Na1 0.000 0.000 0.500
Na2 0.000 0.500 0.000
Na3 0.500 0.000 0.000
V1 0.000 0.000 0.000
B1 0.500 0.500 0.500

## two
## Na3VB (PBE)

Data for an optimized crystal structure of Na3VB.

Lattice parameters (Å, degrees): 5.058 5.058 5.058 90.00 90.00 90.00
Sites, in units of the cell vectors:
Na1 0.000 0.000 0.500
Na2 0.000 0.500 0.000
Na3 0.500 0.000 0.000
V1 0.500 0.500 0.500
B1 0.000 0.000 0.000

Relative calculated energies, zero for the most stable structure, unit meV per atom: one 567; two 0.

## one
## NaBW3 (PBE)

Data for an optimized crystal structure of NaBW3.

Lattice parameters (Å, degrees): 4.444 4.444 4.444 90.00 90.00 90.00
Sites, in units of the cell vectors:
Na1 0.000 0.000 0.000
B1 0.500 0.500 0.500
W1 0.000 0.000 0.500
W2 0.000 0.500 0.000
W3 0.500 0.000 0.000

## two
## NaBW3 (PBE)

Data for an optimized crystal structure of NaBW3.

Lattice parameters (Å, degrees): 4.282 4.282 4.282 90.00 90.00 90.00
Sites, in units of the cell vectors:
Na1 0.000 0.000 0.000
B1 0.500 0.500 0.500
W1 0.000 0.500 0.500
W2 0.500 0.000 0.500
W3 0.500 0.500 0.000

Relative calculated energies, zero for the most stable structure, unit meV per atom: one 2925; two 0.